Record 1
Compound: ZnMoAs
Source: the Alexandria database
Functional: PBE
Structure: relaxed

Output
**Space group**: No. 156
**Crystal system**: trigonal
**Formation energy from the elements**: 0.22 eV/atom
**DOS(E_F)**: 0.39 states/eV/atom
**ΔE to the lowest computed polymorph**: 227.9 meV/atom
**Size of the total moment**: 0.00 μB/atom

Cell and atoms, written as POSCAR:
```
ZnMoAs
1.0
4.530 0.000 0.000
-2.265 3.923 0.000
0.000 0.000 2.692
Zn Mo As
1 1 1
direct
0.000 0.000 0.000
0.333 0.667 0.500
0.667 0.333 0.498
```

=====

Record 2
Compound: In3SnPd
Source: the Alexandria database
Functional: PBE
Structure: relaxed

Output
**Space group**: No. 221
**Crystal system**: cubic
**Formation energy from the elements**: 0.00 eV/atom
**DOS(E_F)**: 0.64 states/eV/atom
**ΔE to the lowest computed polymorph**: 169.6 meV/atom
**Size of the total moment**: 0.00 μB/atom

Cell and atoms, written as POSCAR:
```
In3SnPd
1.0
5.190 0.000 0.000
0.000 5.190 0.000
0.000 0.000 5.190
In Sn Pd
3 1 1
direct
0.000 0.000 0.500
0.000 0.500 0.000
0.500 0.000 0.000
0.500 0.500 0.500
0.000 0.000 0.000
```

=====

Record 3
Compound: Pm2Al4HgPt3
Source: the Alexandria database
Functional: PBE
Structure: relaxed

Output
**Space group**: No. 115
**Crystal system**: tetragonal
**Formation energy from the elements**: -0.93 eV/atom
**DOS(E_F)**: 0.70 states/eV/atom
**Size of the total moment**: 0.00 μB/atom

Cell and atoms, written as POSCAR:
```
Pm2Al4HgPt3
1.0
4.337 0.000 0.000
0.000 4.337 0.000
0.000 0.000 10.542
Pm Al Hg Pt
2 4 1 3
direct
0.000 0.500 0.241
0.500 0.000 0.759
0.000 0.000 0.000
0.000 0.500 0.640
0.500 0.000 0.360
0.500 0.500 0.000
0.000 0.000 0.500
0.000 0.500 0.872
0.500 0.000 0.128
0.500 0.500 0.500
```

=====

Record 4
Compound: La4MgAg
Source: the Alexandria database
Functional: PBE
Structure: relaxed

Output
**Space group**: No. 216
**Crystal system**: cubic
**Formation energy from the elements**: 0.33 eV/atom
**DOS(E_F)**: 1.37 states/eV/atom
**ΔE to the lowest computed polymorph**: 440.5 meV/atom
**Size of the total moment**: 0.00 μB/atom

Cell and atoms, written as POSCAR:
```
La4MgAg
1.0
0.000 4.626 4.626
4.626 0.000 4.626
4.626 4.626 0.000
La Mg Ag
4 1 1
direct
0.125 0.125 0.125
0.125 0.125 0.626
0.125 0.626 0.125
0.626 0.125 0.125
0.750 0.750 0.750
0.500 0.500 0.500
```

=====

Record 5
Compound: Pu2NpN3
Source: the Alexandria database
Functional: PBE
Structure: relaxed

Output
**Space group**: No. 62
**Crystal system**: orthorhombic
**DOS(E_F)**: 2.44 states/eV/atom
**ΔE to the lowest computed polymorph**: 41.0 meV/atom
**Raw formation energy**: -1.163 eV/atom
**Size of the total moment**: 0.50 μB/atom

Cell and atoms, written as POSCAR:
```
Pu2NpN3
1.0
6.935 0.000 0.000
0.000 4.886 0.000
0.000 0.000 10.383
Pu Np N
8 4 12
direct
0.123 0.250 0.083
0.127 0.250 0.750
0.373 0.750 0.250
0.377 0.750 0.583
0.623 0.250 0.417
0.627 0.250 0.750
0.873 0.750 0.250
0.877 0.750 0.917
0.123 0.250 0.415
0.377 0.750 0.915
0.623 0.250 0.085
0.877 0.750 0.585
0.115 0.750 0.417
0.125 0.750 0.750
0.131 0.750 0.077
0.369 0.250 0.577
0.375 0.250 0.250
0.385 0.250 0.917
0.615 0.750 0.083
0.625 0.750 0.750
0.631 0.750 0.423
0.869 0.250 0.923
0.875 0.250 0.250
0.885 0.250 0.583
```

=====

Record 6
Compound: MnCr2Pb
Source: the Alexandria database
Functional: PBE
Structure: relaxed

Output
**Space group**: No. 122
**Crystal system**: tetragonal
**Formation energy from the elements**: 1.11 eV/atom
**DOS(E_F)**: 1.30 states/eV/atom
**Size of the total moment**: 0.00 μB/atom

Cell and atoms, written as POSCAR:
```
MnCr2Pb
1.0
-1.937 1.937 8.645
1.937 -1.937 8.645
1.937 1.937 -8.645
Mn Cr Pb
2 4 2
direct
0.000 0.000 0.000
0.750 0.250 0.500
0.031 0.625 0.906
0.375 0.281 0.406
0.719 0.125 0.094
0.875 0.969 0.594
0.250 0.750 0.500
0.500 0.500 0.000
```

=====

Record 7
Compound: Pm4Cu2Ru
Source: the Alexandria database
Functional: PBE
Structure: relaxed

Output
**Space group**: No. 139
**Crystal system**: tetragonal
**Formation energy from the elements**: 0.08 eV/atom
**DOS(E_F)**: 1.36 states/eV/atom
**ΔE to the lowest computed polymorph**: 175.3 meV/atom
**Size of the total moment**: 0.00 μB/atom

Cell and atoms, written as POSCAR:
```
Pm4Cu2Ru
1.0
-2.701 2.701 6.922
2.701 -2.701 6.922
2.701 2.701 -6.922
Pm Cu Ru
4 2 1
direct
0.000 0.500 0.500
0.200 0.200 0.000
0.500 0.000 0.500
0.800 0.800 0.000
0.407 0.407 0.000
0.593 0.593 0.000
0.000 0.000 0.000
```

=====

Record 8
Compound: VZn4Re
Source: the Alexandria database
Functional: PBE
Structure: relaxed

Output
**Space group**: No. 216
**Crystal system**: cubic
**Formation energy from the elements**: 0.10 eV/atom
**DOS(E_F)**: 0.44 states/eV/atom
**Size of the total moment**: 0.08 μB/atom

Cell and atoms, written as POSCAR:
```
VZn4Re
1.0
0.000 3.449 3.449
3.449 0.000 3.449
3.449 3.449 0.000
V Zn Re
1 4 1
direct
0.000 0.000 0.000
0.375 0.375 0.375
0.375 0.375 0.875
0.375 0.875 0.375
0.875 0.375 0.375
0.750 0.750 0.750
```

=====

Record 9
Compound: ZnGaAg2
Source: the Alexandria database
Functional: PBE
Structure: relaxed

Output
**Space group**: No. 5
**Crystal system**: monoclinic
**Formation energy from the elements**: -0.03 eV/atom
**DOS(E_F)**: 0.29 states/eV/atom
**Size of the total moment**: 0.00 μB/atom

Cell and atoms, written as POSCAR:
```
ZnGaAg2
1.0
4.616 -2.542 0.000
4.616 2.542 0.000
-0.963 0.000 2.897
Zn Ga Ag
1 1 2
direct
0.000 0.000 0.000
0.507 0.493 0.500
0.415 0.079 0.745
0.921 0.585 0.255
```

=====

Record 10
Compound: KBaNi
Source: the Alexandria database
Functional: PBE
Structure: relaxed

Output
**Space group**: No. 216
**Crystal system**: cubic
**Formation energy from the elements**: 0.41 eV/atom
**DOS(E_F)**: 1.11 states/eV/atom
**ΔE to the lowest computed polymorph**: 414.5 meV/atom
**Size of the total moment**: 0.15 μB/atom

Cell and atoms, written as POSCAR:
```
KBaNi
1.0
0.000 3.835 3.835
3.835 0.000 3.835
3.835 3.835 0.000
K Ba Ni
1 1 1
direct
0.000 0.000 0.000
0.500 0.500 0.500
0.250 0.250 0.250
```

=====

Record 11
Compound: CsLiTe2
Source: the Alexandria database
Functional: PBE
Structure: relaxed

Output
**Space group**: No. 2
**Crystal system**: triclinic
**DOS(E_F)**: 0.00 states/eV/atom
**ΔE to the lowest computed polymorph**: 17.3 meV/atom
**Raw formation energy**: -0.808 eV/atom
**Size of the total moment**: 0.00 μB/atom

Cell and atoms, written as POSCAR:
```
CsLiTe2
1.0
5.033 0.000 0.000
-1.190 7.591 0.000
-1.176 -2.244 8.330
Cs Li Te
2 2 4
direct
0.090 0.148 0.311
0.910 0.852 0.689
0.256 0.446 0.848
0.744 0.554 0.152
0.289 0.657 0.317
0.434 0.804 0.063
0.566 0.196 0.937
0.711 0.343 0.683
```

=====

Record 12
Compound: V4Ga5H
Source: the Alexandria database
Functional: PBE
Structure: relaxed

Output
**Space group**: No. 12
**Crystal system**: monoclinic
**DFT total energy**: -5.539 eV/atom
**DOS(E_F)**: 0.73 states/eV/atom
**Size of the total moment**: 0.00 μB/atom

Cell and atoms, written as POSCAR:
```
V4Ga5H
1.0
7.217 -1.364 0.000
7.217 1.364 0.000
-1.004 0.000 7.053
V Ga H
4 5 1
direct
0.004 0.004 0.327
0.342 0.342 0.457
0.658 0.658 0.543
0.996 0.996 0.673
0.166 0.166 0.868
0.177 0.177 0.237
0.500 0.500 0.000
0.823 0.823 0.763
0.834 0.834 0.132
0.500 0.500 0.500
```

=====

> What is the formula in the fourth record?

La4MgAg

=====

> Among the records above, which one has the highest size of the total moment?

Pu2NpN3